Entry 1:
# PBE LiLaTbAu, relaxed
data_LiLaTbAu
_symmetry_space_group_name_H-M 'P 1'
_symmetry_Int_Tables_number 1
_cell_length_a 5.261
_cell_length_b 5.261
_cell_length_c 5.261
_cell_angle_alpha 60.00
_cell_angle_beta 60.00
_cell_angle_gamma 60.00
loop_
_symmetry_equiv_pos_as_xyz
'x,y,z'
loop_
_atom_site_label
_atom_site_fract_x
_atom_site_fract_y
_atom_site_fract_z
_atom_site_occupancy
Tb1 0.750 0.750 0.750 1
La1 0.250 0.250 0.250 1
Au1 0.000 0.000 0.000 1
Li1 0.500 0.500 0.500 1
# theoretical density = 8.09 g cm⁻³
# E_form = -0.3452 eV per atom
# space group = F-43m, No. 216
# calculated total energy = -4.03 eV/atom

Entry 2:
# PBE Li2LaTeAu, relaxed
data_Li2LaTeAu
_symmetry_space_group_name_H-M 'P 1'
_symmetry_Int_Tables_number 1
_cell_length_a 5.905
_cell_length_b 5.401
_cell_length_c 5.905
_cell_angle_alpha 90.00
_cell_angle_beta 90.00
_cell_angle_gamma 90.00
loop_
_symmetry_equiv_pos_as_xyz
'x,y,z'
loop_
_atom_site_label
_atom_site_fract_x
_atom_site_fract_y
_atom_site_fract_z
_atom_site_occupancy
Te1 0.500 0.500 0.500 1
Li1 0.500 0.000 0.000 1
Li2 0.000 0.000 0.500 1
La1 0.000 0.000 0.000 1
Au1 0.000 0.500 0.000 1
# theoretical density = 4.21 g cm⁻³
# space group = P4/mmm, No. 123
# E_form (uncorrected) = 0.613 eV per atom
# calculated total energy = -2.42 eV/atom

Entry 3:
# PBE LiLaTlAu, relaxed
data_LiLaTlAu
_symmetry_space_group_name_H-M 'P 1'
_symmetry_Int_Tables_number 1
_cell_length_a 5.191
_cell_length_b 5.191
_cell_length_c 5.191
_cell_angle_alpha 60.00
_cell_angle_beta 60.00
_cell_angle_gamma 60.00
loop_
_symmetry_equiv_pos_as_xyz
'x,y,z'
loop_
_atom_site_label
_atom_site_fract_x
_atom_site_fract_y
_atom_site_fract_z
_atom_site_occupancy
La1 0.250 0.250 0.250 1
Li1 0.750 0.750 0.750 1
Tl1 0.500 0.500 0.500 1
Au1 0.000 0.000 0.000 1
# theoretical density = 9.19 g cm⁻³
# E_form = -0.4833 eV per atom
# space group = F-43m, No. 216
# calculated total energy = -3.60 eV/atom

Entry 4:
# PBE Li2LaTlAu2, relaxed
data_Li2LaTlAu2
_symmetry_space_group_name_H-M 'P 1'
_symmetry_Int_Tables_number 1
_cell_length_a 4.657
_cell_length_b 4.657
_cell_length_c 6.908
_cell_angle_alpha 90.00
_cell_angle_beta 90.00
_cell_angle_gamma 120.00
loop_
_symmetry_equiv_pos_as_xyz
'x,y,z'
loop_
_atom_site_label
_atom_site_fract_x
_atom_site_fract_y
_atom_site_fract_z
_atom_site_occupancy
Au1 0.667 0.333 0.745 1
Au2 0.333 0.667 0.255 1
La1 0.000 0.000 0.000 1
Li1 0.333 0.667 0.658 1
Li2 0.667 0.333 0.342 1
Tl1 0.000 0.000 0.500 1
# theoretical density = 9.61 g cm⁻³
# E_form = -0.5338 eV per atom
# space group = P-3m1, No. 164
# calculated total energy = -3.48 eV/atom